Sn2Sb2Au3 | Alexandria | PBE | optimized geometry; formation energy from raw total energies = -86 meV/atom; DOS(E_F) = 0.51 states/eV per atom; offset from the most stable computed form = 22 meV/atom; VASP energy = -26.682 eV/cell; crystal system = monoclinic
1.0
7.029 -2.167 0.000
7.029 2.167 0.000
-0.485 0.000 5.907
Sn Sb Au
2 2 3
Cartesian
2.547 0.000 1.508
11.026 0.000 4.400
6.183 0.000 1.638
7.389 0.000 4.270
0.000 0.000 0.000
2.227 0.000 4.378
11.345 0.000 1.529